This record from the Alexandria database describes a relaxed structure of FeCoN2. The functional is PBE-GGA.

**E above lowest polymorph**: 381 meV per atom
**Total magnetic moment**: 0.67 μB/cell
**Energy**: -30.80 eV per formula unit
**Space group**: No. 166
**Raw formation energy**: 0.3543 eV per atom

Cell lengths 6.118, 6.118, 6.118 Å; angles 24.90, 24.90, 24.90 degrees
Atoms (fractional coordinates):
Fe1 0.000 0.000 0.000
Co1 0.500 0.500 0.500
N1 0.400 0.400 0.400
N2 0.600 0.600 0.600


This record from the Alexandria database describes a relaxed structure of FeCo2N. The functional is PBE-GGA.

**Total magnetic moment**: 3.68 μB/cell
**Energy**: -29.36 eV per formula unit
**Space group**: No. 166
**Raw formation energy**: 0.4089 eV per atom

Cell lengths 7.028, 7.028, 7.028 Å; angles 22.28, 22.28, 22.28 degrees
Atoms (fractional coordinates):
Fe1 0.000 0.000 0.000
Co1 0.115 0.115 0.115
Co2 0.885 0.885 0.885
N1 0.500 0.500 0.500